(1)
Dy3Mg2Ag2 | PBE | relaxed

Properties
SG: Cmmm, No. 65

abc: 14.705 14.705 3.503
angles: 90.00 90.00 166.13
Positions (direct):
Dy 0.000 0.000 0.000
Dy 0.128 0.872 0.000
Dy 0.872 0.128 0.000
Mg 0.293 0.707 0.500
Mg 0.707 0.293 0.500
Ag 0.435 0.565 0.500
Ag 0.565 0.435 0.500


(2)
Dy4Mg3Ag | PBE | relaxed

Properties
SG: P4/mmm, No. 123

abc: 3.744 3.744 14.966
angles: 90.00 90.00 90.00
Positions (direct):
Dy 0.000 0.000 0.117
Dy 0.000 0.000 0.372
Dy 0.000 0.000 0.628
Dy 0.000 0.000 0.883
Mg 0.500 0.500 0.247
Mg 0.500 0.500 0.500
Mg 0.500 0.500 0.753
Ag 0.500 0.500 0.000


(3)
Dy3Mg2Ag3 | PBE | relaxed

Properties
SG: Immm, No. 71

abc: 10.800 10.800 10.800
angles: 161.15 152.10 33.89
Positions (direct):
Dy 0.000 0.000 0.000
Dy 0.376 0.876 0.500
Dy 0.624 0.124 0.500
Mg 0.235 0.235 0.000
Mg 0.765 0.765 0.000
Ag 0.126 0.626 0.500
Ag 0.500 0.500 0.000
Ag 0.874 0.374 0.500


(4)
DyMg4Ag | PBE | relaxed

Properties
SG: P4/mmm, No. 123
Energy relative to the lowest polymorph listed for this composition (eV per formula unit): 0.10

abc: 3.414 3.414 11.711
angles: 90.00 90.00 90.00
Positions (direct):
Dy 0.000 0.000 0.000
Mg 0.000 0.000 0.365
Mg 0.000 0.000 0.635
Mg 0.500 0.500 0.196
Mg 0.500 0.500 0.804
Ag 0.500 0.500 0.500


(5)
DyMg2Ag | PBE | relaxed

Properties
SG: R3m, No. 160

abc: 10.062 10.062 10.062
angles: 19.08 19.08 19.08
Positions (direct):
Dy 0.000 0.000 0.000
Mg 0.572 0.572 0.572
Mg 0.761 0.761 0.761
Ag 0.167 0.167 0.167


(6)
Dy6Mg2Ag | PBE | relaxed

Properties
SG: P2_1/c, No. 14

abc: 6.255 9.442 10.069
angles: 90.00 118.00 90.00
Positions (direct):
Dy 0.060 0.171 0.467
Dy 0.060 0.329 0.967
Dy 0.364 0.687 0.443
Dy 0.364 0.813 0.943
Dy 0.429 0.036 0.306
Dy 0.429 0.464 0.806
Dy 0.571 0.536 0.194
Dy 0.571 0.964 0.694
Dy 0.636 0.187 0.057
Dy 0.636 0.313 0.557
Dy 0.940 0.671 0.033
Dy 0.940 0.829 0.533
Mg 0.120 0.098 0.773
Mg 0.120 0.402 0.273
Mg 0.880 0.598 0.727
Mg 0.880 0.902 0.227
Ag 0.000 0.000 0.000
Ag 0.000 0.500 0.500


(7)
DyMg2Ag | PBE | relaxed

Properties
SG: I-4m2, No. 119

abc: 5.044 5.044 5.044
angles: 120.73 120.73 88.73
Positions (direct):
Dy 0.000 0.000 0.000
Mg 0.500 0.500 0.000
Mg 0.750 0.250 0.500
Ag 0.250 0.750 0.500


(8)
DyMg5Ag6 | PBE | relaxed

Properties
SG: P2/m, No. 10

abc: 4.798 6.855 7.528
angles: 90.00 108.01 90.00
Positions (direct):
Dy 0.000 0.000 0.000
Mg 0.000 0.500 0.000
Mg 0.328 0.000 0.661
Mg 0.333 0.500 0.675
Mg 0.667 0.500 0.325
Mg 0.672 0.000 0.339
Ag 0.178 0.262 0.344
Ag 0.178 0.738 0.344
Ag 0.500 0.264 0.000
Ag 0.500 0.736 0.000
Ag 0.822 0.262 0.656
Ag 0.822 0.738 0.656


(9)
DyMg4Ag2 | PBE | relaxed

Properties
SG: P4_2/mnm, No. 136

abc: 8.450 8.450 4.375
angles: 90.00 90.00 90.00
Positions (direct):
Dy 0.000 0.000 0.000
Dy 0.500 0.500 0.500
Mg 0.091 0.339 0.500
Mg 0.161 0.591 0.000
Mg 0.339 0.091 0.500
Mg 0.409 0.839 0.000
Mg 0.591 0.161 0.000
Mg 0.661 0.909 0.500
Mg 0.839 0.409 0.000
Mg 0.909 0.661 0.500
Ag 0.207 0.793 0.500
Ag 0.293 0.293 0.000
Ag 0.707 0.707 0.000
Ag 0.793 0.207 0.500


(10)
Dy4Mg5Ag2 | PBE | relaxed

Properties
SG: P2/m, No. 10

abc: 7.933 3.475 10.297
angles: 90.00 93.28 90.00
Positions (direct):
Dy 0.159 0.000 0.374
Dy 0.252 0.000 0.949
Dy 0.748 0.000 0.051
Dy 0.841 0.000 0.626
Mg 0.197 0.500 0.663
Mg 0.439 0.500 0.200
Mg 0.500 0.500 0.500
Mg 0.561 0.500 0.800
Mg 0.803 0.500 0.337
Ag 0.060 0.500 0.139
Ag 0.940 0.500 0.861


(11)
DyMg3Ag | PBE | relaxed

Properties
SG: Cmmm, No. 65
Energy relative to the lowest polymorph listed for this composition (eV per formula unit): 0.00

abc: 7.512 7.512 4.439
angles: 90.00 90.00 110.53
Positions (direct):
Dy 0.214 0.786 0.000
Dy 0.786 0.214 0.000
Mg 0.000 0.000 0.500
Mg 0.174 0.440 0.500
Mg 0.440 0.174 0.500
Mg 0.500 0.500 0.000
Mg 0.560 0.826 0.500
Mg 0.826 0.560 0.500
Ag 0.190 0.190 0.000
Ag 0.810 0.810 0.000


(12)
Dy3Mg5Ag2 | PBE | relaxed

Properties
SG: Ibam, No. 72

abc: 9.502 9.502 9.502
angles: 96.39 96.15 141.41
Positions (direct):
Dy 0.143 0.242 0.385
Dy 0.250 0.250 0.000
Dy 0.357 0.742 0.099
Dy 0.643 0.258 0.901
Dy 0.750 0.750 0.000
Dy 0.857 0.758 0.615
Mg 0.012 0.750 0.262
Mg 0.103 0.661 0.764
Mg 0.250 0.750 0.500
Mg 0.397 0.161 0.558
Mg 0.488 0.750 0.738
Mg 0.512 0.250 0.262
Mg 0.603 0.839 0.442
Mg 0.750 0.250 0.500
Mg 0.897 0.339 0.236
Mg 0.988 0.250 0.738
Ag 0.144 0.862 0.006
Ag 0.356 0.362 0.718
Ag 0.644 0.638 0.282
Ag 0.856 0.138 0.994


(13)
Dy2MgAg3 | PBE | relaxed

Properties
SG: P4/mmm, No. 123
Energy relative to the lowest polymorph listed for this composition (eV per formula unit): 0.11

abc: 3.543 3.543 10.680
angles: 90.00 90.00 90.00
Positions (direct):
Dy 0.000 0.000 0.175
Dy 0.000 0.000 0.825
Mg 0.000 0.000 0.500
Ag 0.500 0.500 0.000
Ag 0.500 0.500 0.351
Ag 0.500 0.500 0.649


(14)
Dy3MgAg2 | PBE | relaxed

Properties
SG: P4/mmm, No. 123

abc: 3.670 3.670 11.107
angles: 90.00 90.00 90.00
Positions (direct):
Dy 0.000 0.000 0.000
Dy 0.000 0.000 0.325
Dy 0.000 0.000 0.675
Mg 0.500 0.500 0.500
Ag 0.500 0.500 0.167
Ag 0.500 0.500 0.833


(15)
Dy2Mg3Ag2 | PBE | relaxed

Properties
SG: C2/m, No. 12
Energy relative to the lowest polymorph listed for this composition (eV per formula unit): 0.32

abc: 5.706 5.706 7.453
angles: 95.80 95.80 44.24
Positions (direct):
Dy 0.125 0.125 0.351
Dy 0.875 0.875 0.649
Mg 0.189 0.189 0.868
Mg 0.500 0.500 0.000
Mg 0.811 0.811 0.132
Ag 0.410 0.410 0.346
Ag 0.590 0.590 0.654


(16)
Dy5MgAg4 | PBE | relaxed

Properties
SG: P4/mmm, No. 123

abc: 3.649 3.649 18.430
angles: 90.00 90.00 90.00
Positions (direct):
Dy 0.000 0.000 0.000
Dy 0.000 0.000 0.197
Dy 0.000 0.000 0.393
Dy 0.000 0.000 0.607
Dy 0.000 0.000 0.803
Mg 0.500 0.500 0.500
Ag 0.500 0.500 0.098
Ag 0.500 0.500 0.298
Ag 0.500 0.500 0.702
Ag 0.500 0.500 0.902


(17)
DyMg8Ag2 | PBE | relaxed

Properties
SG: C2/m, No. 12

abc: 7.488 7.488 5.310
angles: 99.26 99.26 113.76
Positions (direct):
Dy 0.000 0.000 0.000
Mg 0.079 0.321 0.596
Mg 0.257 0.743 0.000
Mg 0.321 0.079 0.596
Mg 0.407 0.407 0.203
Mg 0.593 0.593 0.797
Mg 0.679 0.921 0.404
Mg 0.743 0.257 0.000
Mg 0.921 0.679 0.404
Ag 0.307 0.693 0.500
Ag 0.693 0.307 0.500


(18)
DyMg4Ag5 | PBE | relaxed

Properties
SG: P4/mmm, No. 123

abc: 3.415 3.415 16.848
angles: 90.00 90.00 90.00
Positions (direct):
Dy 0.000 0.000 0.000
Mg 0.000 0.000 0.212
Mg 0.000 0.000 0.405
Mg 0.000 0.000 0.595
Mg 0.000 0.000 0.788
Ag 0.500 0.500 0.119
Ag 0.500 0.500 0.309
Ag 0.500 0.500 0.500
Ag 0.500 0.500 0.691
Ag 0.500 0.500 0.881


(19)
DyMg7Ag5 | PBE | relaxed

Properties
SG: Imm2, No. 44

abc: 7.449 7.449 7.449
angles: 135.48 97.45 99.05
Positions (direct):
Dy 0.000 0.000 0.000
Mg 0.205 0.502 0.703
Mg 0.331 0.987 0.344
Mg 0.336 0.336 0.000
Mg 0.643 0.987 0.656
Mg 0.652 0.652 0.000
Mg 0.777 0.277 0.500
Mg 0.799 0.502 0.297
Ag 0.211 0.711 0.500
Ag 0.503 0.496 0.504
Ag 0.503 0.999 0.007
Ag 0.992 0.496 0.993
Ag 0.992 0.999 0.496


(20)
Dy3Mg2Ag | PBE | relaxed

Properties
SG: P4/mmm, No. 123

abc: 3.744 3.744 11.096
angles: 90.00 90.00 90.00
Positions (direct):
Dy 0.000 0.000 0.000
Dy 0.000 0.000 0.341
Dy 0.000 0.000 0.659
Mg 0.500 0.500 0.167
Mg 0.500 0.500 0.833
Ag 0.500 0.500 0.500


Ordered calculated formation energy results: -0.14, -0.13, -0.22, -0.11, -0.02, 0.05, -0.18, -0.24, -0.16, -0.11, -0.15, -0.03, -0.28, -0.23, -0.18, -0.27, -0.01, -0.25, -0.18, -0.15; unit eV per atom.